! TlP2Br | Alexandria | PBE | optimized geometry; values from VASP
&SYSTEM
  ibrav = 0, nat = 4, ntyp = 3
/
ATOMIC_SPECIES
Tl 204.38 Tl.upf
P 30.97 P.upf
Br 79.90 Br.upf
ATOMIC_POSITIONS angstrom
Tl 0.000 0.000 0.000
P 0.020 0.000 4.738
P 2.062 0.000 3.550
Br 4.076 0.000 8.125
CELL_PARAMETERS angstrom
3.063 -1.769 0.000
3.063 1.769 0.000
-0.009 0.000 10.233
! polymorph energy (0 for the lowest one): 0 meV per atom
! uncorrected formation energy: -0.12 eV/atom
! DFT total energy: -3.83 eV/atom

=====

! BaY2CoIr | Alexandria | PBE | optimized geometry; values from VASP
&SYSTEM
  ibrav = 0, nat = 5, ntyp = 4
/
ATOMIC_SPECIES
Ba 137.33 Ba.upf
Y 88.91 Y.upf
Co 58.93 Co.upf
Ir 192.22 Ir.upf
ATOMIC_POSITIONS angstrom
Ba 0.000 0.000 0.000
Y 0.000 2.753 0.000
Y 2.753 0.000 0.000
Co 0.000 0.000 2.252
Ir 2.753 2.753 2.252
CELL_PARAMETERS angstrom
5.507 0.000 0.000
0.000 5.507 0.000
0.000 0.000 4.504
! energy relative to the elements: 1712 meV per atom
! DFT total energy: -4.45 eV/atom

=====

Q: The highest DFT total energy belongs to which entry?
A: TlP2Br

=====

Q: What is the formula in the first record?
A: TlP2Br

=====

Q: Which of these has the highest DFT total energy?
A: TlP2Br

=====

Q: What is the formula in the second record?
A: BaY2CoIr